This record from the Alexandria database describes a relaxed YBi2OsO8 crystal. The functional is PBE.

Values from the calculation:
* DOS(E_F): 0.24 states/eV/atom
* E: -83.97 eV per cell
* magnetization: 0.0 μB per formula unit
* uncorrected formation energy: -1.5704 eV per atom

Lattice parameters (Å, degrees): 5.218 6.728 5.230 90.00 91.06 90.00
Space group P2/m (No. 10)
Inequivalent atoms, fractional coordinates:
1 Y 0.000 0.000 0.000 (multiplicity 1)
2 Bi 0.500 0.251 0.500 (multiplicity 2)
3 Os 0.000 0.500 0.000 (multiplicity 1)
4 O 0.178 0.281 0.181 (multiplicity 4)
5 O 0.247 0.500 0.759 (multiplicity 2)
6 O 0.310 0.000 0.692 (multiplicity 2)